Y2PRh (SCAN, PBEsol geometry); formation enthalpy at 0 K = -1.108 eV per atom; energy = -26.072 eV per atom; space-group type = P4/mmm, No. 123; magnetic moment = 0.00 μB per cell
1.0
3.413 0.000 0.000
0.000 3.413 0.000
0.000 0.000 6.734
Y Rh P
2 1 1
direct
0.000 0.000 0.244
0.000 0.000 0.756
0.500 0.500 0.500
0.500 0.500 0.000